Computed, not measured: crystalline BeNiGe2O6 at its relaxed geometry at the GGA+U level of DFT.

Output
Calculated volume: 224.0 Å³ per cell
VASP energy: -0.2301 hartree per atom
SG: No. 15

Cell lengths 5.2647, 6.7637, 6.7637 Å; angles 88.39, 74.76, 74.76 degrees
Each line ends with the local moment (μB).
Atoms (fractional coordinates):
O1 0.4422 0.8532 0.3499  0.02
O2 0.1616 0.9726 0.8020  0.05
O3 0.4812 0.4205 0.3056  0.00
O4 0.3384 0.1980 0.0274  0.05
Be1 0.2500 0.1908 0.8092  0.00
O5 0.0188 0.6944 0.5795  0.00
O6 0.6616 0.8020 0.9726  0.05
Ge1 0.3031 0.7805 0.5954  0.01
O7 0.5578 0.1468 0.6501  0.02
O8 0.9422 0.3499 0.8532  0.02
Be2 0.7500 0.8092 0.1908  0.00
Ge2 0.6969 0.2195 0.4046  0.01
O9 0.0578 0.6501 0.1468  0.02
O10 0.8384 0.0274 0.1980  0.05
O11 0.5188 0.5795 0.6944  0.00
O12 0.9812 0.3056 0.4205  0.00
Ni1 0.2500 0.8976 0.1024  1.78
Ge3 0.1969 0.4046 0.2195  0.01
Ge4 0.8031 0.5954 0.7805  0.01
Ni2 0.7500 0.1024 0.8976  1.78